{
  "formula": "SrRh2WO8",
  "functional": "PBE with a Hubbard U",
  "state": "optimized geometry",
  "lattice_angstrom": [[4.7851, 0.0000, 0.0000], [0.0000, 6.5830, 0.0000], [-0.1624, 0.0000, 4.8066]],
  "species": ["Sr", "Rh", "Rh", "W", "O", "O", "O", "O", "O", "O", "O", "O"],
  "frac_coords": [[0.0000, 0.0000, 0.0000], [0.5000, 0.2519, 0.5000], [0.5000, 0.7481, 0.5000], [0.0000, 0.5000, 0.0000], [0.2053, 0.2940, 0.2003], [0.2053, 0.7060, 0.2003], [0.2998, 0.5000, 0.6951], [0.3315, 0.0000, 0.6584], [0.6685, 0.0000, 0.3416], [0.7002, 0.5000, 0.3049], [0.7947, 0.2940, 0.7997], [0.7947, 0.7060, 0.7997]],
  "e_tot_ev_per_cell": -79.9,
  "n_ef_per_ev_atom": 0.561,
  "m_tot_mub_per_cell": 0.99
}